No. 1
The following is a PBE calculation of crystalline SrPtW at its relaxed geometry, from Alexandria.

Calculated values
Energy above the lowest structure with this stoichiometry, meV per atom: 0
Space group: C2/m
M_tot, μB/f.u.: 0.0
Electronic total energy, eV per cell: -41.514
Calculated density, g cm⁻³: 10.396

Cell: 4.557 4.557 7.227 Å, 89.35 90.65 96.65°
Sites, in units of the cell vectors:
1 Sr 0.327 0.849 0.906
2 Sr 0.839 0.337 0.615
3 Pt 0.294 0.882 0.433
4 Pt 0.871 0.305 0.089
5 W 0.370 0.380 0.261
6 W 0.796 0.806 0.261

***

No. 2
The following is a PBE calculation of crystalline Cs2KNbI6 at its relaxed geometry, from Alexandria.

Calculated values
Space group: Fm-3m
M_tot, μB/f.u.: 2.0
Formation energy from raw total energies, eV/f.u.: -10.44
Electronic total energy, eV per cell: -32.619
Calculated density, g cm⁻³: 3.960

Cell: 8.825 8.825 8.825 Å, 60.00 60.00 90.00°
Site moments in Bohr magnetons follow the coordinates.
Sites, in units of the cell vectors:
1 Cs 0.750 0.250 0.500  0.00
2 Cs 0.250 0.750 0.500  0.00
3 I 0.229 0.229 0.541  -0.01
4 I 0.771 0.771 0.459  -0.01
5 I 0.229 0.229 0.000  -0.01
6 I 0.771 0.771 0.000  -0.01
7 I 0.771 0.229 0.000  -0.01
8 I 0.229 0.771 0.000  -0.01
9 Nb 0.000 0.000 0.000  1.63
10 K 0.500 0.500 0.000  0.00

***

No. 3
The following is a PBE calculation of crystalline BaPb2I6 at its relaxed geometry, from Alexandria.

Calculated values
Space group: C2/m
M_tot, μB/f.u.: 0.0
Formation energy from raw total energies, eV/f.u.: -9.13
Electronic total energy, eV per cell: -27.766
Calculated density, g cm⁻³: 4.765

Cell: 4.838 9.432 10.469 Å, 99.84 103.36 90.00°
Sites, in units of the cell vectors:
1 Ba 0.500 0.000 0.000
2 Pb 0.831 0.659 0.661
3 Pb 0.169 0.341 0.339
4 I 0.327 0.894 0.654
5 I 0.006 0.263 0.013
6 I 0.668 0.578 0.336
7 I 0.994 0.737 0.987
8 I 0.673 0.106 0.346
9 I 0.332 0.422 0.664

***

No. 4
The following is a PBE calculation of crystalline Te2PbCl at its relaxed geometry, from Alexandria.

Calculated values
Energy above the lowest structure with this stoichiometry, meV per atom: 54
Space group: P4mm
M_tot, μB/f.u.: 0.0
Formation energy from raw total energies, eV/f.u.: -1.37
Electronic total energy, eV per cell: -13.212
Calculated density, g cm⁻³: 5.399

Cell: 4.330 4.330 8.169 Å, 90.00 90.00 90.00°
Sites, in units of the cell vectors:
1 Cl 0.000 0.000 0.644
2 Pb 0.500 0.500 0.691
3 Te 0.000 0.000 0.102
4 Te 0.500 0.500 0.063

***

No. 5
The following is a PBE calculation of crystalline BaCa2Ag2Pb2 at its relaxed geometry, from Alexandria.

Calculated values
Space group: R-3m
M_tot, μB/f.u.: 0.0
Electronic total energy, eV per cell: -21.911
Calculated density, g cm⁻³: 6.366

Cell: 5.088 5.088 10.289 Å, 75.68 75.68 60.00°
Sites, in units of the cell vectors:
1 Ba 0.000 0.000 0.000
2 Ca 0.130 0.130 0.610
3 Ca 0.870 0.870 0.390
4 Ag 0.584 0.584 0.247
5 Ag 0.416 0.416 0.753
6 Pb 0.750 0.750 0.750
7 Pb 0.250 0.250 0.250

***

No. 6
The following is a PBE calculation of crystalline La2NiAs4Ir3 at its relaxed geometry, from Alexandria.

Calculated values
Space group: P-4m2
M_tot, μB/f.u.: 0.0
Electronic total energy, eV per cell: -68.827
Calculated density, g cm⁻³: 10.685

Cell: 4.378 4.378 9.836 Å, 90.00 90.00 90.00°
Sites, in units of the cell vectors:
1 La 0.500 0.000 0.251
2 La 0.000 0.500 0.749
3 Ni 0.500 0.500 0.500
4 As 0.500 0.500 0.000
5 As 0.000 0.000 0.000
6 As 0.500 0.000 0.629
7 As 0.000 0.500 0.371
8 Ir 0.000 0.000 0.500
9 Ir 0.500 0.000 0.881
10 Ir 0.000 0.500 0.119

***

No. 7
The following is a PBE calculation of crystalline Er2URu3 at its relaxed geometry, from Alexandria.

Calculated values
Energy above the lowest structure with this stoichiometry, meV per atom: 104
Space group: Cmc2_1
M_tot, μB/f.u.: 0.0
Electronic total energy, eV per cell: -100.361
Calculated density, g cm⁻³: 11.230

Cell: 5.690 7.287 7.287 Å, 121.01 90.00 90.00°
Sites, in units of the cell vectors:
1 Er 0.721 0.165 0.510
2 Er 0.221 0.490 0.835
3 Er 0.221 0.835 0.490
4 Er 0.721 0.510 0.165
5 U 0.724 0.834 0.834
6 U 0.224 0.166 0.166
7 Ru 0.494 0.132 0.840
8 Ru 0.994 0.160 0.868
9 Ru 0.414 0.458 0.458
10 Ru 0.914 0.542 0.542
11 Ru 0.994 0.868 0.160
12 Ru 0.494 0.840 0.132

***

No. 8
The following is a PBE calculation of crystalline TmAgPdAu at its relaxed geometry, from Alexandria.

Calculated values
Energy above the lowest structure with this stoichiometry, meV per atom: 0
Space group: I-4m2
M_tot, μB/f.u.: 0.0
Electronic total energy, eV per cell: -18.335
Calculated density, g cm⁻³: 12.866

Cell: 4.193 4.193 5.190 Å, 113.86 113.83 90.00°
Sites, in units of the cell vectors:
1 Tm 0.500 0.500 0.000
2 Ag 0.000 0.000 0.000
3 Pd 0.250 0.750 0.500
4 Au 0.750 0.250 0.500

***

No. 9
The following is a PBE calculation of crystalline KBaNi2Ge at its relaxed geometry, from Alexandria.

Calculated values
Space group: P4/mmm
M_tot, μB/f.u.: 0.0
Electronic total energy, eV per cell: -17.459
Calculated density, g cm⁻³: 4.884

Cell: 4.705 5.627 4.705 Å, 90.00 90.00 90.00°
Sites, in units of the cell vectors:
1 K 0.000 0.500 0.000
2 Ni 0.000 0.000 0.500
3 Ni 0.500 0.000 0.000
4 Ge 0.000 0.000 0.000
5 Ba 0.500 0.500 0.500

***

No. 10
The following is a PBE calculation of crystalline Ge3RuN at its relaxed geometry, from Alexandria.

Calculated values
Energy above the lowest structure with this stoichiometry, meV per atom: 0
Space group: Pm-3m
M_tot, μB/f.u.: 0.7
Formation energy from raw total energies, eV/f.u.: 3.84
Electronic total energy, eV per cell: -27.610
Calculated density, g cm⁻³: 7.441

Cell: 4.204 4.204 4.204 Å, 90.00 90.00 90.00°
Site moments in Bohr magnetons follow the coordinates.
Sites, in units of the cell vectors:
1 Ru 0.500 0.500 0.500  0.47
2 Ge 0.000 0.500 0.000  0.00
3 Ge 0.000 0.000 0.500  0.01
4 Ge 0.500 0.000 0.000  0.06
5 N 0.000 0.000 0.000  0.06

***

No. 11
The following is a PBE calculation of crystalline LaIn2IrBr at its relaxed geometry, from Alexandria.

Calculated values
Space group: P4/mmm
M_tot, μB/f.u.: 0.0
Formation energy from raw total energies, eV/f.u.: -3.59
Electronic total energy, eV per cell: -24.525
Calculated density, g cm⁻³: 7.140

Cell: 5.197 5.197 5.517 Å, 90.00 90.00 90.00°
Sites, in units of the cell vectors:
1 Ir 0.000 0.000 0.000
2 In 0.000 0.500 0.000
3 In 0.500 0.000 0.000
4 Br 0.500 0.500 0.500
5 La 0.000 0.000 0.500

***

No. 12
The following is a PBE calculation of crystalline ZrIn at its relaxed geometry, from Alexandria.

Calculated values
Space group: Cm
M_tot, μB/f.u.: 0.0
Electronic total energy, eV per cell: -34.697
Calculated density, g cm⁻³: 7.316

Cell: 6.012 6.012 7.734 Å, 72.09 72.09 31.99°
Sites, in units of the cell vectors:
1 Zr 0.667 0.667 0.677
2 Zr 0.944 0.944 0.611
3 Zr 0.281 0.281 0.945
4 In 0.996 0.996 0.991
5 In 0.332 0.332 0.337
6 In 0.613 0.613 0.273

***

No. 13
The following is a PBE calculation of crystalline CoIr8Os2 at its relaxed geometry, from Alexandria.

Calculated values
Space group: Immm
M_tot, μB/f.u.: 0.0
Electronic total energy, eV per cell: -98.184
Calculated density, g cm⁻³: 19.919

Cell: 3.822 7.566 7.103 Å, 122.18 105.61 90.00°
Sites, in units of the cell vectors:
1 Co 0.500 0.000 0.000
2 Ir 0.661 0.908 0.322
3 Ir 0.339 0.586 0.678
4 Ir 0.173 0.173 0.347
5 Ir 0.000 0.245 0.000
6 Ir 0.827 0.827 0.653
7 Ir 0.661 0.414 0.322
8 Ir 0.339 0.092 0.678
9 Ir 0.000 0.755 0.000
10 Os 0.167 0.667 0.334
11 Os 0.833 0.333 0.666